(a)
Here is Ba2Tc2Sb after structural relaxation from the Alexandria database. Energies are from PBE.

Unit cell a=3.618 b=3.618 c=11.256 alpha=80.75 beta=80.75 gamma=90.00
Fractional positions:
Sb 0.000 0.000 0.000
Ba 0.383 0.383 0.234
Ba 0.617 0.617 0.766
Tc 0.750 0.250 0.500
Tc 0.250 0.750 0.500

## Properties
crystal system: tetragonal
total magnetization: 0.00 μB per cell

(b)
Here is Ba2Tc2Sb after structural relaxation from the Alexandria database. Energies are from PBE.

Unit cell a=9.339 b=9.339 c=3.384 alpha=90.00 beta=90.00 gamma=90.00
Site moments in Bohr magnetons follow the coordinates.
Fractional positions:
Sb 0.000 0.000 0.000  -0.03
Sb 0.500 0.500 0.000  -0.03
Ba 0.365 0.865 0.000  -0.03
Ba 0.865 0.635 0.000  -0.03
Ba 0.635 0.135 0.000  -0.03
Ba 0.135 0.365 0.000  -0.03
Tc 0.175 0.675 0.500  2.28
Tc 0.675 0.825 0.500  2.27
Tc 0.825 0.325 0.500  2.28
Tc 0.325 0.175 0.500  2.27

## Properties
crystal system: tetragonal
total magnetization: 10.19 μB per cell

Unit: meV/atom. Relative energies: (a) 0; (b) 1120.

(a)
Here is BaTcSb after structural relaxation from the Alexandria database. Energies are from PBE.

Unit cell a=5.464 b=5.464 c=5.464 alpha=60.00 beta=60.00 gamma=60.00
Site moments in Bohr magnetons follow the coordinates.
Fractional positions:
Ba 0.750 0.750 0.750  0.09
Sb 0.000 0.000 0.000  0.10
Tc 0.500 0.500 0.500  3.44

## Properties
crystal system: cubic
total magnetization: 4.53 μB per cell

(b)
Here is BaTcSb after structural relaxation from the Alexandria database. Energies are from PBE.

Unit cell a=6.716 b=6.716 c=3.552 alpha=74.67 beta=74.66 gamma=30.67
Fractional positions:
Ba 0.009 0.009 0.991
Sb 0.289 0.289 0.711
Tc 0.702 0.702 0.298

## Properties
crystal system: tetragonal
total magnetization: 0.00 μB per cell

(c)
Here is BaTcSb after structural relaxation from the Alexandria database. Energies are from PBE.

Unit cell a=4.547 b=4.547 c=5.154 alpha=90.00 beta=90.00 gamma=120.00
Site moments in Bohr magnetons follow the coordinates.
Fractional positions:
Ba 0.000 0.000 0.000  0.00
Sb 0.667 0.333 0.500  -0.01
Tc 0.333 0.667 0.500  0.15

## Properties
crystal system: hexagonal
total magnetization: 0.16 μB per cell

Unit: meV/atom. Relative energies: (a) 1259; (b) 0; (c) 13.

(a)
Here is BaTcSbTe2 after structural relaxation from the Alexandria database. Energies are from PBE.

Unit cell a=6.343 b=6.343 c=6.342 alpha=90.00 beta=90.00 gamma=90.00
Site moments in Bohr magnetons follow the coordinates.
Fractional positions:
Sb 0.000 0.000 0.500  0.32
Te 0.000 0.500 0.000  0.08
Te 0.500 0.000 0.000  0.08
Ba 0.000 0.000 0.000  0.01
Tc 0.500 0.500 0.500  -4.09

## Properties
crystal system: tetragonal
total magnetization: 3.82 μB per cell

(b)
Here is BaTcSbTe2 after structural relaxation from the Alexandria database. Energies are from PBE.

Unit cell a=5.620 b=5.620 c=5.090 alpha=90.00 beta=90.00 gamma=90.00
Site moments in Bohr magnetons follow the coordinates.
Fractional positions:
Sb 0.000 0.000 0.500  -0.06
Te 0.000 0.500 0.000  0.06
Te 0.500 0.000 0.000  0.06
Ba 0.500 0.500 0.500  0.02
Tc 0.000 0.000 0.000  1.60

## Properties
crystal system: tetragonal
total magnetization: 1.99 μB per cell

Unit: meV/atom. Relative energies: (a) 1683; (b) 0.

(a)
Here is Ba2SbTe after structural relaxation from the Alexandria database. Energies are from PBE.

Unit cell a=5.911 b=5.911 c=5.911 alpha=60.00 beta=60.00 gamma=60.00
Fractional positions:
Ba 0.000 0.000 0.000
Ba 0.250 0.250 0.250
Sb 0.500 0.500 0.500
Te 0.750 0.750 0.750

## Properties
crystal system: cubic
total magnetization: 0.00 μB per cell

(b)
Here is Ba2SbTe after structural relaxation from the Alexandria database. Energies are from PBE.

Unit cell a=4.178 b=4.132 c=9.830 alpha=65.14 beta=90.00 gamma=90.00
Fractional positions:
Ba 0.000 0.010 0.989
Ba 0.000 0.490 0.511
Sb 0.500 0.250 0.250
Te 0.500 0.750 0.750

## Properties
crystal system: orthorhombic
total magnetization: 0.00 μB per cell

(c)
Here is Ba2SbTe after structural relaxation from the Alexandria database. Energies are from PBE.

Unit cell a=6.215 b=6.215 c=3.971 alpha=90.00 beta=90.00 gamma=90.00
Fractional positions:
Ba 0.000 0.000 0.000
Ba 0.500 0.500 0.000
Sb 0.500 0.000 0.500
Te 0.000 0.500 0.500

## Properties
crystal system: tetragonal
total magnetization: 0.00 μB per cell

(d)
Here is Ba2SbTe after structural relaxation from the Alexandria database. Energies are from PBE.

Unit cell a=7.001 b=7.001 c=5.865 alpha=90.00 beta=90.00 gamma=34.46
Fractional positions:
Ba 0.992 0.992 0.125
Ba 0.757 0.757 0.625
Sb 0.495 0.495 0.625
Te 0.256 0.256 0.125

## Properties
crystal system: orthorhombic
total magnetization: 0.00 μB per cell

Unit: meV/atom. Relative energies: (a) 592; (b) 0; (c) 24; (d) 43.

(a)
Here is Ba3SbTe after structural relaxation from the Alexandria database. Energies are from PBE.

Unit cell a=6.549 b=6.549 c=6.549 alpha=90.00 beta=90.00 gamma=90.00
Fractional positions:
Sb 0.000 0.000 0.000
Te 0.500 0.500 0.500
Ba 0.000 0.500 0.000
Ba 0.000 0.000 0.500
Ba 0.500 0.000 0.000

## Properties
crystal system: cubic
total magnetization: 0.00 μB per cell

(b)
Here is Ba3SbTe after structural relaxation from the Alexandria database. Energies are from PBE.

Unit cell a=6.294 b=7.208 c=10.463 alpha=90.00 beta=90.19 gamma=90.00
Site moments in Bohr magnetons follow the coordinates.
Fractional positions:
Ba 0.627 0.752 0.091  0.03
Ba 0.125 0.752 0.526  0.05
Ba 0.625 0.252 0.372  0.03
Ba 0.626 0.502 0.731  0.23
Ba 0.128 0.252 0.937  0.05
Ba 0.626 0.002 0.731  0.23
Sb 0.625 0.752 0.420  -0.01
Sb 0.628 0.252 0.042  -0.01
Te 0.128 0.752 0.872  -0.01
Te 0.125 0.252 0.590  -0.01

## Properties
crystal system: monoclinic
total magnetization: 1.61 μB per cell

Unit: meV/atom. Relative energies: (a) 388; (b) 0.

(a)
Here is BaSbTe3 after structural relaxation from the Alexandria database. Energies are from PBE.

Unit cell a=4.442 b=9.084 c=9.771 alpha=101.94 beta=90.00 gamma=90.00
Fractional positions:
Ba 0.250 0.321 0.218
Ba 0.750 0.679 0.782
Sb 0.250 0.817 0.361
Sb 0.750 0.183 0.639
Te 0.750 0.605 0.412
Te 0.250 0.395 0.588
Te 0.750 0.356 0.938
Te 0.250 0.948 0.680
Te 0.250 0.644 0.062
Te 0.750 0.052 0.320

## Properties
crystal system: monoclinic
total magnetization: 0.00 μB per cell

(b)
Here is BaSbTe3 after structural relaxation from the Alexandria database. Energies are from PBE.

Unit cell a=6.605 b=6.605 c=6.605 alpha=90.00 beta=90.00 gamma=90.00
Site moments in Bohr magnetons follow the coordinates.
Fractional positions:
Ba 0.000 0.000 0.000  0.00
Sb 0.500 0.500 0.500  0.81
Te 0.000 0.500 0.000  -0.54
Te 0.000 0.000 0.500  -0.54
Te 0.500 0.000 0.000  -0.54

## Properties
crystal system: cubic
total magnetization: 1.05 μB per cell

Unit: meV/atom. Relative energies: (a) 0; (b) 1205.